(1)
## Nb2Zn3Ni4 (PBE)

Data for a relaxed Nb2Zn3Ni4 crystal.

```
Nb2Zn3Ni4
1.0
3.654 -2.107 0.000
3.654 2.107 0.000
-0.020 0.000 7.886
Nb Zn Ni
2 3 4
Direct
0.167 0.167 0.219
0.833 0.833 0.781
0.166 0.166 0.574
0.500 0.500 0.000
0.834 0.834 0.426
0.166 0.166 0.899
0.500 0.500 0.345
0.500 0.500 0.655
0.834 0.834 0.101
```

Calculated values
Calculated formation energy = -0.17 eV/atom
Symmetry = C2/m, No. 12
N(E_F) = 7.79 states/eV/cell
Magnetic moment = 0.0 μB per formula unit
Calculated volume = 121.4 Å³ per cell


(2)
## NbZn2Ni9 (PBE)

Data for a relaxed NbZn2Ni9 crystal.

```
NbZn2Ni9
1.0
3.624 0.000 0.000
0.000 3.624 0.000
0.000 0.000 10.772
Nb Zn Ni
1 2 9
Direct
0.000 0.000 0.000
0.000 0.000 0.338
0.000 0.000 0.662
0.000 0.500 0.171
0.000 0.500 0.500
0.000 0.500 0.829
0.500 0.000 0.171
0.500 0.000 0.500
0.500 0.000 0.829
0.500 0.500 0.000
0.500 0.500 0.335
0.500 0.500 0.665
```

Calculated values
Calculated formation energy = -0.19 eV/atom
Symmetry = P4/mmm, No. 123
N(E_F) = 11.93 states/eV/cell
Magnetic moment = 2.2 μB per formula unit
Calculated volume = 141.5 Å³ per cell


(3)
## NbZn3Ni6 (PBE)

Data for a relaxed NbZn3Ni6 crystal.

```
NbZn3Ni6
1.0
7.868 0.000 0.000
0.000 3.777 0.000
-0.580 0.000 8.316
Nb Zn Ni
2 6 12
Direct
0.061 0.250 0.379
0.939 0.750 0.621
0.250 0.250 0.013
0.345 0.750 0.809
0.448 0.250 0.602
0.552 0.750 0.398
0.655 0.250 0.191
0.750 0.750 0.987
0.051 0.750 0.911
0.150 0.250 0.708
0.158 0.750 0.207
0.254 0.750 0.504
0.363 0.250 0.301
0.453 0.750 0.102
0.547 0.250 0.898
0.637 0.750 0.699
0.746 0.250 0.496
0.842 0.250 0.793
0.850 0.750 0.292
0.949 0.250 0.089
```

Calculated values
Calculated formation energy = -0.22 eV/atom
Symmetry = P2_1/m, No. 11
N(E_F) = 10.90 states/eV/cell
Magnetic moment = 0.0 μB per formula unit
Calculated volume = 247.1 Å³ per cell


(4)
## Nb2Zn3Ni3 (PBE)

Data for a relaxed Nb2Zn3Ni3 crystal.

```
Nb2Zn3Ni3
1.0
7.172 0.000 0.000
-3.586 6.211 0.000
0.000 0.000 2.612
Nb Zn Ni
2 3 3
Direct
0.333 0.667 0.000
0.667 0.333 0.000
0.000 0.770 0.000
0.230 0.230 0.000
0.770 0.000 0.000
0.000 0.348 0.500
0.348 0.000 0.500
0.652 0.652 0.500
```

Calculated values
Calculated formation energy = -0.05 eV/atom
Symmetry = P-62m, No. 189
N(E_F) = 4.75 states/eV/cell
Magnetic moment = 0.0 μB per formula unit
Calculated volume = 116.3 Å³ per cell


(5)
## Nb2ZnNi2 (PBE)

Data for a relaxed Nb2ZnNi2 crystal.

```
Nb2ZnNi2
1.0
7.479 0.000 0.000
0.000 7.479 0.000
0.000 0.000 2.766
Nb Zn Ni
4 2 4
Direct
0.169 0.331 0.000
0.331 0.831 0.000
0.669 0.169 0.000
0.831 0.669 0.000
0.000 0.000 0.000
0.500 0.500 0.000
0.123 0.623 0.500
0.377 0.123 0.500
0.623 0.877 0.500
0.877 0.377 0.500
```

Calculated values
Calculated formation energy = 0.07 eV/atom
Symmetry = P4/mbm, No. 127
N(E_F) = 8.03 states/eV/cell
Magnetic moment = 0.0 μB per formula unit
Calculated volume = 154.7 Å³ per cell


(6)
## NbZnNi3 (PBE)

Data for a relaxed NbZnNi3 crystal.

```
NbZnNi3
1.0
4.699 0.000 0.000
0.000 4.471 0.000
-2.348 0.000 6.530
Nb Zn Ni
2 2 6
Direct
0.194 0.250 0.388
0.806 0.750 0.612
0.438 0.750 0.877
0.562 0.250 0.123
0.000 0.000 0.000
0.000 0.500 0.000
0.115 0.250 0.725
0.391 0.750 0.275
0.609 0.250 0.725
0.885 0.750 0.275
```

Calculated values
Calculated formation energy = -0.03 eV/atom
Symmetry = P2_1/m, No. 11
N(E_F) = 8.80 states/eV/cell
Magnetic moment = 0.0 μB per formula unit
Calculated volume = 137.2 Å³ per cell


(7)
## Nb2ZnNi (PBE)

Data for a relaxed Nb2ZnNi crystal.

```
Nb2ZnNi
1.0
2.810 0.000 0.000
0.000 2.810 0.000
0.000 0.000 7.780
Nb Zn Ni
2 1 1
Direct
0.000 0.000 0.237
0.000 0.000 0.763
0.500 0.500 0.500
0.500 0.500 0.000
```

Calculated values
Calculated formation energy = -0.10 eV/atom
Symmetry = P4/mmm, No. 123
N(E_F) = 3.44 states/eV/cell
Magnetic moment = 0.0 μB per formula unit
Calculated volume = 61.4 Å³ per cell


(8)
## NbZn2Ni (PBE)

Data for a relaxed NbZn2Ni crystal.

```
NbZn2Ni
1.0
2.880 0.000 0.000
0.000 2.880 0.000
0.000 0.000 6.837
Nb Zn Ni
1 2 1
Direct
0.000 0.000 0.000
0.500 0.500 0.287
0.500 0.500 0.713
0.000 0.000 0.500
```

Calculated values
Calculated formation energy = -0.13 eV/atom
Symmetry = P4/mmm, No. 123
N(E_F) = 2.49 states/eV/cell
Magnetic moment = 0.0 μB per formula unit
Calculated volume = 56.7 Å³ per cell


- The lowest calculated formation energy belongs to which entry?
  NbZn3Ni6


What did the first record say?
## Nb2Zn3Ni4 (PBE)

Data for a relaxed Nb2Zn3Ni4 crystal.

```
Nb2Zn3Ni4
1.0
3.654 -2.107 0.000
3.654 2.107 0.000
-0.020 0.000 7.886
Nb Zn Ni
2 3 4
Direct
0.167 0.167 0.219
0.833 0.833 0.781
0.166 0.166 0.574
0.500 0.500 0.000
0.834 0.834 0.426
0.166 0.166 0.899
0.500 0.500 0.345
0.500 0.500 0.655
0.834 0.834 0.101
```

Calculated values
Calculated formation energy = -0.17 eV/atom
Symmetry = C2/m, No. 12
N(E_F) = 7.79 states/eV/cell
Magnetic moment = 0.0 μB per formula unit
Calculated volume = 121.4 Å³ per cell


- The highest calculated formation energy belongs to which entry?
  Nb2ZnNi2